DFT (GGA+U) results for an optimized crystal structure of RbMnAsF6.

The structure in POSCAR format:
```
RbMnAsF6
1.0
5.676 0.000 0.000
-2.710 5.018 0.000
-0.036 -0.052 5.943
Rb Mn As F
1 1 1 6
direct
0.000 0.000 0.000
0.330 0.670 0.501
0.669 0.330 0.501
0.004 0.395 0.701
0.380 0.365 0.320
0.402 0.021 0.698
0.610 0.984 0.304
0.627 0.600 0.689
0.985 0.619 0.313
```

Output
Magnetization, Bohr magnetons per cell: 5.0
ρ, Mg/m³: 3.23
DFT total energy, Ha/atom: -0.1893